The following is a DFT calculation (GGA-PBEsol) of a geometry-optimized Cr3BP structure.

Cell and atoms, written as extended XYZ:
```
5
Lattice="4.0475 0.0000 0.0000 0.0000 4.0475 0.0000 0.0000 0.0000 4.0475" Properties=species:S:1:pos:R:3 pbc="T T T"
Cr 0.0000 2.0238 0.0000
Cr 0.0000 0.0000 2.0238
Cr 2.0238 0.0000 0.0000
B 2.0238 2.0238 2.0238
P 0.0000 0.0000 0.0000
```

Output
- Formation enthalpy at 0 K: 1.252 eV/atom
- E_tot: -7.455 eV/atom
- Crystal system: cubic